A relaxed ScReMo crystal. Source: Alexandria, functional GGA-PBE.

Values from the calculation:
volume: 17.0 Å³/atom
D(E_F): 1.8 states/eV/f.u.
excess energy over the best structure of this formula in the dataset: 73 meV per atom
formation energy from the elements: -123 meV per atom

Cell: 3.1607 3.1607 10.1947 Å, 90.00 90.00 90.00°
Last column: nearest neighbours and their distance in Å.
Space group I4mm (No. 107)
Symmetry-distinct sites (fractional):
Sc  0.0000  0.0000  0.0000 x2  4 Re 2.88, 5 Mo 2.92-3.22, 4 Sc 3.16
Re  0.0000  0.0000  0.6787 x2  4 Mo 2.64, 4 Sc 2.88
Mo  0.0000  0.0000  0.3159 x2  4 Re 2.64, 4 Sc 2.92